Record 1
Entry from Alexandria via LeMat-Bulk: a relaxed structure of LaSmTi (PBE-GGA).

As for the energy of formation: 120 meV/atom. The value obtained for the density of states at the Fermi level is 1.81 states/eV/atom. For the total energy, the calculation gives -34.4 eV for the cell shown.

The structure belongs to space group P4/nmm (No. 129, origin choice 2); the cell edges are 3.6265, 3.6265 and 13.2574 Å and the angles 90.00°, 90.00° and 90.00°. The distinct sites, in fractional coordinates, are La at (0.2500, 0.2500, 0.1018), Sm at (0.2500, 0.2500, 0.6919) and Ti at (0.2500, 0.2500, 0.4593).

***

Record 2
Entry from Alexandria via LeMat-Bulk: a relaxed structure of La6SmTl (PBE-GGA).

As for the energy of formation: -34 meV/atom. The value obtained for the density of states at the Fermi level is 1.26 states/eV/atom. For the total energy, the calculation gives -36.9 eV for the cell shown. The energy relative to the lowest polymorph listed for this composition comes out at 0.000 eV/atom.

The structure belongs to space group P4/mmm (No. 123); the cell edges are 6.0313, 6.0313 and 7.5342 Å and the angles 90.00°, 90.00° and 90.00°. The distinct sites, in fractional coordinates, are La at (0.0000, 0.0000, 0.0000), La at (0.0000, 0.0000, 0.5000), La at (0.0000, 0.5000, 0.2280), Sm at (0.5000, 0.5000, 0.5000) and Tl at (0.5000, 0.5000, 0.0000).

***

Record 3
Entry from Alexandria via LeMat-Bulk: a relaxed structure of La2Sm2Tl (PBE-GGA).

As for the energy of formation: -84 meV/atom. The value obtained for the density of states at the Fermi level is 1.18 states/eV/atom. For the total energy, the calculation gives -44.2 eV for the cell shown. The energy relative to the lowest polymorph listed for this composition comes out at 0.031 eV/atom.

The structure belongs to space group C2/m (No. 12); the cell edges are 9.7158, 5.6242 and 6.8318 Å and the angles 90.00°, 118.08° and 90.00°. The distinct sites, in fractional coordinates, are La at (0.1824, 0.0000, 0.0470), Sm at (0.1049, 0.5000, 0.3147) and Tl at (0.0000, 0.0000, 0.5000).

***

Record 4
Entry from Alexandria via LeMat-Bulk: a relaxed structure of La9Sm4Tl11 (PBE-GGA).

As for the energy of formation: -344 meV/atom. The value obtained for the density of states at the Fermi level is 1.11 states/eV/atom. For the total energy, the calculation gives -195.0 eV for the cell shown.

The structure belongs to space group Cmmm (No. 65); the cell edges are 18.5050, 21.9714 and 3.6449 Å and the angles 90.00°, 90.00° and 90.00°. The distinct sites, in fractional coordinates, are La at (0.0000, 0.0000, 0.0000), La at (0.1170, 0.2415, 0.0000), La at (0.1221, 0.4137, 0.0000), Sm at (0.1499, 0.0861, 0.0000), Tl at (0.0000, 0.1363, 0.5000), Tl at (0.0000, 0.3314, 0.5000), Tl at (0.0000, 0.5000, 0.5000), Tl at (0.2422, 0.5000, 0.5000) and Tl at (0.2440, 0.3255, 0.5000).

***

Q: Which formula does entry 3 have?
A: La2Sm2Tl

***

Q: Among the records above, which one has the highest density of states at the Fermi level?
A: LaSmTi

***

Q: Which formula does entry 1 have?
A: LaSmTi

***

Q: The lowest density of states at the Fermi level belongs to which entry?
A: La9Sm4Tl11